No. 1
The following is a DFT calculation (PBE) of an optimized crystal structure of SbS3N.

Cell lengths 4.2768, 4.2768, 4.2768 Å; angles 90.00, 90.00, 90.00 degrees
Atoms (fractional coordinates):
Sb  0.0000  0.0000  0.0000
S  0.0000  0.5000  0.5000
S  0.5000  0.0000  0.5000
S  0.5000  0.5000  0.0000
N  0.5000  0.5000  0.5000

Values from the calculation:
* energy above the lowest structure with this stoichiometry: 0 meV per atom
* formation energy from raw total energies: 926 meV per atom
* density of states at the Fermi level: 0.83 states/eV/atom

No. 2
The following is a DFT calculation (PBE) of an optimized crystal structure of BiSbCl.

Cell lengths 5.3738, 5.8720, 7.6859 Å; angles 94.92, 103.20, 90.16 degrees
Atoms (fractional coordinates):
Bi  0.1404  0.0223  0.2089
Bi  0.8596  0.9777  0.7911
Sb  0.2531  0.5109  0.1029
Sb  0.7469  0.4891  0.8971
Cl  0.3115  0.9591  0.6876
Cl  0.6885  0.0409  0.3124

Values from the calculation:
* energy above the lowest structure with this stoichiometry: 169 meV per atom
* formation energy from raw total energies: -222 meV per atom
* density of states at the Fermi level: 0.13 states/eV/atom

No. 3
The following is a DFT calculation (PBE) of an optimized crystal structure of CaCo2Hg.

Cell lengths 4.7677, 8.3317, 8.3317 Å; angles 27.73, 90.00, 90.00 degrees
Atoms (fractional coordinates):
Ca  0.0000  0.0000  0.0000
Ca  0.5000  0.2172  0.2172
Co  0.0000  0.8232  0.8232
Co  0.2388  0.3766  0.3766
Co  0.5000  0.8687  0.8687
Co  0.7612  0.3766  0.3766
Hg  0.0000  0.6572  0.6572
Hg  0.5000  0.5333  0.5333

Values from the calculation:
* density of states at the Fermi level: 0.73 states/eV/atom
* formation enthalpy at 0 K: -76 meV per atom

No. 4
The following is a DFT calculation (PBE) of an optimized crystal structure of LaTcAg2.

Cell lengths 3.0524, 3.0524, 9.3647 Å; angles 90.00, 90.00, 110.96 degrees
Atoms (fractional coordinates):
La  0.0000  0.0000  0.0000
Tc  0.5000  0.5000  0.7748
Ag  0.0000  0.0000  0.5401
Ag  0.5000  0.5000  0.3009

Values from the calculation:
* energy above the lowest structure with this stoichiometry: 195 meV per atom
* density of states at the Fermi level: 0.98 states/eV/atom
* formation enthalpy at 0 K: 408 meV per atom

No. 5
The following is a DFT calculation (PBE) of an optimized crystal structure of PmPr2Tm7.

Cell lengths 6.1393, 7.0945, 7.9275 Å; angles 77.30, 75.09, 73.38 degrees
Atoms (fractional coordinates):
Pm  0.0000  0.0000  0.0000
Pr  0.2013  0.2988  0.6006
Pr  0.7987  0.7012  0.3994
Tm  0.0000  0.5000  0.0000
Tm  0.1995  0.7997  0.6015
Tm  0.3986  0.1015  0.1975
Tm  0.4007  0.6003  0.1979
Tm  0.5993  0.3997  0.8021
Tm  0.6014  0.8985  0.8025
Tm  0.8005  0.2003  0.3985

Values from the calculation:
* energy above the lowest structure with this stoichiometry: 0 meV per atom
* density of states at the Fermi level: 1.28 states/eV/atom
* formation enthalpy at 0 K: 24 meV per atom

No. 6
The following is a DFT calculation (PBE) of an optimized crystal structure of Ce3ErTl4Se8.

Cell lengths 9.1946, 9.1946, 9.1946 Å; angles 55.76, 55.76, 55.76 degrees
Atoms (fractional coordinates):
Ce  0.0000  0.5000  0.5000
Ce  0.5000  0.0000  0.5000
Ce  0.5000  0.5000  0.0000
Er  0.0000  0.0000  0.0000
Tl  0.0000  0.0000  0.5000
Tl  0.0000  0.5000  0.0000
Tl  0.5000  0.0000  0.0000
Tl  0.5000  0.5000  0.5000
Se  0.2306  0.2306  0.7447
Se  0.2306  0.7447  0.2306
Se  0.2553  0.7694  0.7694
Se  0.2632  0.2632  0.2632
Se  0.7368  0.7368  0.7368
Se  0.7447  0.2306  0.2306
Se  0.7694  0.2553  0.7694
Se  0.7694  0.7694  0.2553

Values from the calculation:
* formation energy from raw total energies: -1329 meV per atom
* density of states at the Fermi level: 1.23 states/eV/atom